[1]
First-principles (GGA-PBE) data for an optimized crystal structure of Li4ZnSn2Pd, as listed in the Open Quantum Materials Database.

Output
Total DFT energy (no corrections): -25.89 eV for the cell shown
Density: 5.54 g/cm³

a b c (Å): 4.5190 4.5190 6.4135
angles (deg): 90.00 90.00 90.00
Closest atoms and distances in Å follow each position.
Fractional coordinates of all 8 atoms:
Zn (0.0000, 0.0000, 0.0000)  4 Li 2.77, 4 Sn 2.78
Li (0.5000, 0.5000, 0.0000)  4 Li 2.77, 4 Sn 2.78
Li (0.0000, 0.0000, 0.5000)  4 Sn 2.76, 4 Li 2.77
Li (0.0000, 0.5000, 0.7491)  4 Li 2.77, 2 Pd 2.77, 2 Zn 2.77
Sn (0.5000, 0.0000, 0.7473)  4 Li 2.76-2.78, 2 Pd 2.76, 2 Zn 2.78
Pd (0.5000, 0.5000, 0.5000)  4 Sn 2.76, 4 Li 2.77
Sn (0.0000, 0.5000, 0.2527)  4 Li 2.76-2.78, 2 Pd 2.76, 2 Zn 2.78
Li (0.5000, 0.0000, 0.2510)  4 Li 2.77, 2 Pd 2.77, 2 Zn 2.77

[2]
First-principles (GGA-PBE) data for an optimized crystal structure of Li4Zn2SnPd, as listed in the Open Quantum Materials Database.

Output
Total DFT energy (no corrections): -22.37 eV for the cell shown
Density: 5.23 g/cm³

a b c (Å): 4.4023 4.4023 6.2807
angles (deg): 90.00 90.00 90.00
Closest atoms and distances in Å follow each position.
Fractional coordinates of all 8 atoms:
Li (0.5000, 0.0000, 0.2287)  4 Li 2.63-2.78, 2 Pd 2.63, 2 Sn 2.78, 1 Zn 2.87
Li (0.0000, 0.0000, 0.5000)  4 Li 2.78, 4 Zn 2.78, 4 Sn 3.11
Li (0.5000, 0.5000, 0.0000)  4 Zn 2.63, 4 Li 2.63
Zn (0.0000, 0.5000, 0.2286)  5 Li 2.63-2.87, 2 Pd 2.63, 2 Sn 2.78
Sn (0.5000, 0.5000, 0.5000)  8 Li 2.78-3.11, 4 Zn 2.78
Zn (0.5000, 0.0000, 0.7714)  5 Li 2.63-2.87, 2 Pd 2.63, 2 Sn 2.78
Pd (0.0000, 0.0000, 0.0000)  4 Zn 2.63, 4 Li 2.63
Li (0.0000, 0.5000, 0.7713)  4 Li 2.63-2.78, 2 Pd 2.63, 2 Sn 2.78, 1 Zn 2.87

[3]
First-principles (GGA-PBE) data for an optimized crystal structure of Sr3LiPd8, as listed in the Open Quantum Materials Database.

Output
Total DFT energy (no corrections): -55.27 eV for the cell shown
Density: 7.77 g/cm³

a b c (Å): 9.5641 9.5641 9.5641
angles (deg): 33.68 33.68 33.68
Closest atoms and distances in Å follow each position.
Fractional coordinates of all 12 atoms:
Pd (0.9389, 0.9389, 0.4400)  6 Pd 2.75-2.78, 1 Li 3.03
Pd (0.1885, 0.1885, 0.1885)  6 Pd 2.74-2.75
Sr (0.3769, 0.3769, 0.3769)  12 Pd 3.24-3.28, 4 Sr 3.48
Pd (0.6883, 0.6883, 0.6883)  6 Pd 2.78
Sr (0.5055, 0.5055, 0.5055)  12 Pd 3.11-3.30, 3 Li 3.29, 1 Sr 3.48
Sr (0.9928, 0.9928, 0.9928)  12 Pd 3.15-3.45, 1 Li 3.38, 3 Sr 3.48
Pd (0.4369, 0.9385, 0.4369)  6 Pd 2.74-2.78
Li (0.8680, 0.8680, 0.8680)  12 Pd 3.03-3.35, 4 Sr 3.29-3.38
Pd (0.9389, 0.4400, 0.9389)  6 Pd 2.75-2.78, 1 Li 3.03
Pd (0.9385, 0.4369, 0.4369)  6 Pd 2.74-2.78
Pd (0.4369, 0.4369, 0.9385)  6 Pd 2.74-2.78
Pd (0.4400, 0.9389, 0.9389)  6 Pd 2.75-2.78, 1 Li 3.03

[4]
First-principles (GGA-PBE) data for an optimized crystal structure of SrLiTaPd, as listed in the Open Quantum Materials Database.

Output
Total DFT energy (no corrections): -18.70 eV for the cell shown
Density: 7.60 g/cm³
Offset from the most stable computed form: 0.006 eV/atom

a b c (Å): 4.9042 4.9042 4.9042
angles (deg): 60.00 60.00 60.00
Closest atoms and distances in Å follow each position.
Fractional coordinates of all 4 atoms:
Sr (0.0000, 0.0000, 0.0000)  4 Li 3.00, 4 Pd 3.00
Li (0.7500, 0.7500, 0.7500)  4 Sr 3.00, 4 Ta 3.00
Pd (0.2500, 0.2500, 0.2500)  4 Ta 3.00, 4 Sr 3.00
Ta (0.5000, 0.5000, 0.5000)  4 Pd 3.00, 4 Li 3.00